Density functional theory data (PBE-GGA) for an optimized crystal structure of Ac2Sb4Pd3Au.

Lattice parameters (Å, degrees): 4.7899 4.7899 10.7132 90.00 90.00 90.00
Sites, in units of the cell vectors:
Ac (0.0000, 0.5000, 0.2433)
Ac (0.5000, 0.0000, 0.7567)
Sb (0.0000, 0.0000, 0.5000)
Sb (0.0000, 0.5000, 0.8679)
Sb (0.5000, 0.0000, 0.1321)
Sb (0.5000, 0.5000, 0.5000)
Pd (0.0000, 0.0000, 0.0000)
Pd (0.0000, 0.5000, 0.6208)
Pd (0.5000, 0.0000, 0.3792)
Au (0.5000, 0.5000, 0.0000)

## Properties
The formation energy from raw total energies comes out at -0.825 eV/atom. Its total energy is -5.18 eV per atom.